Entry 1:
Density functional theory data (GGA-PBE) for a relaxed TcHg2Os crystal.

a = 6.529 Å, b = 6.529 Å, c = 6.529 Å
α = 90.00°, β = 90.00°, γ = 90.00°
Space group Fm-3m (No. 225)
Unique sites:
Tc  0.000  0.000  0.000 x4
Hg  0.250  0.250  0.250 x8
Os  0.000  0.000  0.500 x4

Its energy is -4.50 eV/atom. For the formation energy, the calculation gives 1.05 eV per atom. The density of states at the Fermi level is 21.4 states/eV per cell. The calculated volume is 69.6 Å³/f.u.

Entry 2:
Density functional theory data (GGA-PBE) for a relaxed PrDyTeP crystal.

a = 4.1623 Å, b = 4.1623 Å, c = 22.1631 Å
α = 90.00°, β = 90.00°, γ = 120.00°
Space group R3m (No. 160, hexagonal axes)
Unique sites:
Pr  0.0000  0.0000  0.0000 x3
Dy  0.0000  0.0000  0.8073 x3
Te  0.0000  0.0000  0.2327 x3
P  0.0000  0.0000  0.4094 x3

Its energy is -6.02 eV/atom. The density of states at the Fermi level is 8.6 states/eV per cell. The uncorrected formation energy comes out at -594 kJ/mol of formula units. The calculated volume is 110.8 Å³/f.u.